# 1
A relaxed structure of CsNaCl2, computed with PBE-GGA.

Cell lengths 7.2607, 7.2607, 7.2607 Å; angles 113.43, 113.43, 101.81 degrees
Closest atoms and distances in Å follow each position.
Positions (direct):
Cs 0.0000 0.0000 0.0000  4 Cl 3.45
Cs 0.7500 0.2500 0.5000  4 Cl 3.45
Na 0.2500 0.7500 0.5000  4 Cl 2.70
Na 0.5000 0.5000 0.0000  4 Cl 2.70
Cl 0.1976 0.6250 0.0726  2 Na 2.70
Cl 0.3750 0.4476 0.5726  2 Na 2.70
Cl 0.5524 0.1250 0.9274  2 Na 2.70
Cl 0.8750 0.8024 0.4274  2 Na 2.70

Output
N(E_F) = 0.00 states/eV/f.u.

***

# 2
A relaxed structure of Cs2NaCl, computed with PBE-GGA.

Cell lengths 6.6951, 6.6951, 6.6951 Å; angles 60.00, 60.00, 60.00 degrees
Closest atoms and distances in Å follow each position.
Positions (direct):
Cs 0.2500 0.2500 0.2500  4 Cl 4.10, 4 Na 4.10
Cs 0.7500 0.7500 0.7500  4 Cl 4.10, 4 Na 4.10
Na 0.0000 0.0000 0.0000  8 Cs 4.10
Cl 0.5000 0.5000 0.5000  8 Cs 4.10

Output
excess energy over the best structure of this formula in the dataset = 0.163 eV/atom
N(E_F) = 0.00 states/eV/f.u.

***

# 3
A relaxed structure of CsNa2Cl2, computed with PBE-GGA.

Cell lengths 9.5181, 9.5181, 9.5181 Å; angles 147.88, 147.88, 46.06 degrees
Closest atoms and distances in Å follow each position.
Positions (direct):
Cs 0.0000 0.0000 0.0000  2 Cl 3.53
Na 0.2500 0.7500 0.5000  4 Cl 2.77
Na 0.7500 0.2500 0.5000  4 Cl 2.77
Cl 0.2016 0.2016 0.0000  4 Na 2.77
Cl 0.7984 0.7984 0.0000  4 Na 2.77

Output
excess energy over the best structure of this formula in the dataset = 0.000 eV/atom
N(E_F) = 1.28 states/eV/f.u.

***

# 4
A relaxed structure of CsNa2Cl2, computed with PBE-GGA.

Cell lengths 8.9854, 8.9854, 4.3104 Å; angles 90.00, 90.00, 90.00 degrees
Closest atoms and distances in Å follow each position.
Positions (direct):
Cs 0.0000 0.0000 0.0000  4 Cl 3.47
Cs 0.5000 0.5000 0.0000  4 Cl 3.47
Na 0.1224 0.3776 0.5000  1 Na 3.11, 4 Cl 3.20
Na 0.3776 0.8776 0.5000  1 Na 3.11, 4 Cl 3.20
Na 0.6224 0.1224 0.5000  1 Na 3.11, 4 Cl 3.20
Na 0.8776 0.6224 0.5000  1 Na 3.11, 4 Cl 3.20
Cl 0.1400 0.6400 0.0000  4 Na 3.20, 2 Cs 3.47, 1 Cl 3.56
Cl 0.3600 0.1400 0.0000  4 Na 3.20, 2 Cs 3.47, 1 Cl 3.56
Cl 0.6400 0.8600 0.0000  4 Na 3.20, 2 Cs 3.47, 1 Cl 3.56
Cl 0.8600 0.3600 0.0000  4 Na 3.20, 2 Cs 3.47, 1 Cl 3.56

Output
excess energy over the best structure of this formula in the dataset = 0.207 eV/atom
N(E_F) = 1.24 states/eV/f.u.

***

# 5
A relaxed structure of CsNa2Cl2, computed with PBE-GGA.

Cell lengths 7.1362, 7.1362, 7.1362 Å; angles 136.14, 136.14, 63.77 degrees
Closest atoms and distances in Å follow each position.
Positions (direct):
Cs 0.0000 0.0000 0.0000  10 Na 3.97-4.31, 8 Cl 4.04
Na 0.3278 0.3278 0.0000  4 Cl 2.83
Na 0.6722 0.6722 0.0000  4 Cl 2.83
Cl 0.2500 0.7500 0.5000  4 Na 2.83
Cl 0.7500 0.2500 0.5000  4 Na 2.83

Output
excess energy over the best structure of this formula in the dataset = 0.012 eV/atom
N(E_F) = 1.33 states/eV/f.u.

***

# 6
A relaxed structure of Cs2NaCl7, computed with PBE-GGA.

Cell lengths 7.6199, 7.6199, 7.6199 Å; angles 117.21, 117.21, 94.91 degrees
Closest atoms and distances in Å follow each position.
Positions (direct):
Cs 0.2500 0.7500 0.5000  12 Cl 3.81-3.98
Cs 0.7500 0.2500 0.5000  12 Cl 3.81-3.98
Na 0.0000 0.0000 0.0000  6 Cl 2.71-2.90
Cl 0.2416 0.2416 0.4831  1 Na 2.71, 1 Cl 2.90
Cl 0.2416 0.7584 0.0000  1 Na 2.71, 1 Cl 2.90
Cl 0.2812 0.2812 0.0000  1 Cl 2.26
Cl 0.5000 0.5000 0.0000  2 Cl 2.26
Cl 0.7188 0.7188 0.0000  1 Cl 2.26
Cl 0.7584 0.2416 0.0000  1 Na 2.71, 1 Cl 2.90
Cl 0.7584 0.7584 0.5169  1 Na 2.71, 1 Cl 2.90

Output
N(E_F) = 4.85 states/eV/f.u.

***

# 7
A relaxed structure of CsNaCl2, computed with PBE-GGA.

Cell lengths 4.8030, 7.4378, 7.4378 Å; angles 33.86, 90.00, 90.00 degrees
Closest atoms and distances in Å follow each position.
Positions (direct):
Cs 0.0000 0.0000 0.0000  6 Cl 3.43-3.55
Na 0.5000 0.2277 0.2277  4 Cl 2.69-2.80
Cl 0.0000 0.3132 0.3132  2 Na 2.69
Cl 0.5000 0.6030 0.6030  2 Na 2.80

Output
N(E_F) = 0.00 states/eV/f.u.

***

# 8
A relaxed structure of CsNaCl2, computed with PBE-GGA.

Cell lengths 5.5987, 5.5987, 3.9680 Å; angles 90.00, 90.00, 90.00 degrees
Closest atoms and distances in Å follow each position.
Positions (direct):
Cs 0.0000 0.0000 0.0000  8 Cl 3.43
Na 0.5000 0.5000 0.0000  8 Cl 3.43
Cl 0.0000 0.5000 0.5000  4 Na 3.43, 4 Cs 3.43
Cl 0.5000 0.0000 0.5000  4 Na 3.43, 4 Cs 3.43

Output
N(E_F) = 0.00 states/eV/f.u.

***

# 9
A relaxed structure of Cs2Na2Cl, computed with PBE-GGA.

Cell lengths 9.1935, 9.1935, 7.6582 Å; angles 90.00, 90.00, 90.00 degrees
Closest atoms and distances in Å follow each position.
Positions (direct):
Cs 0.1924 0.3076 0.0000  2 Cl 3.34
Cs 0.3076 0.8076 0.0000  2 Cl 3.34
Cs 0.6924 0.1924 0.0000  2 Cl 3.34
Cs 0.8076 0.6924 0.0000  2 Cl 3.34
Na 0.1347 0.6347 0.5000  1 Na 3.50
Na 0.3653 0.1347 0.5000  1 Na 3.50
Na 0.6347 0.8653 0.5000  1 Na 3.50
Na 0.8653 0.3653 0.5000  1 Na 3.50
Cl 0.0000 0.0000 0.0000  4 Cs 3.34
Cl 0.5000 0.5000 0.0000  4 Cs 3.34

Output
excess energy over the best structure of this formula in the dataset = 0.108 eV/atom
N(E_F) = 3.74 states/eV/f.u.

***

# 10
A relaxed structure of Cs2NaCl, computed with PBE-GGA.

Cell lengths 11.2511, 11.2511, 11.2511 Å; angles 25.79, 25.79, 25.79 degrees
Closest atoms and distances in Å follow each position.
Positions (direct):
Cs 0.0000 0.0000 0.0000  3 Cl 3.56
Cs 0.2074 0.2074 0.2074  3 Cl 3.55
Na 0.4370 0.4370 0.4370  6 Cs 4.45-4.46
Cl 0.6036 0.6036 0.6036  6 Cs 3.55-3.56

Output
excess energy over the best structure of this formula in the dataset = 0.002 eV/atom
N(E_F) = 2.30 states/eV/f.u.

***

# 11
A relaxed structure of CsNa3Cl3, computed with PBE-GGA.

Cell lengths 7.9268, 7.9268, 7.9268 Å; angles 90.00, 90.00, 90.00 degrees
Closest atoms and distances in Å follow each position.
Positions (direct):
Cs 0.0000 0.0000 0.0000  12 Cl 4.43, 12 Na 4.43
Cs 0.5000 0.5000 0.5000  12 Cl 4.43, 12 Na 4.43
Na 0.0000 0.2500 0.5000  4 Cl 2.80
Na 0.0000 0.7500 0.5000  4 Cl 2.80
Na 0.2500 0.5000 0.0000  4 Cl 2.80
Na 0.5000 0.0000 0.2500  4 Cl 2.80
Na 0.5000 0.0000 0.7500  4 Cl 2.80
Na 0.7500 0.5000 0.0000  4 Cl 2.80
Cl 0.0000 0.5000 0.2500  4 Na 2.80
Cl 0.0000 0.5000 0.7500  4 Na 2.80
Cl 0.2500 0.0000 0.5000  4 Na 2.80
Cl 0.5000 0.2500 0.0000  4 Na 2.80
Cl 0.5000 0.7500 0.0000  4 Na 2.80
Cl 0.7500 0.0000 0.5000  4 Na 2.80

Output
N(E_F) = 2.01 states/eV/f.u.

***

# 12
A relaxed structure of CsNa2Cl, computed with PBE-GGA.

Cell lengths 12.0534, 12.0534, 12.0534 Å; angles 20.61, 20.61, 20.61 degrees
Closest atoms and distances in Å follow each position.
Positions (direct):
Cs 0.0000 0.0000 0.0000  6 Cs 4.31, 2 Na 4.33
Na 0.1224 0.1224 0.1224  3 Cl 2.94
Na 0.8776 0.8776 0.8776  3 Cl 2.94
Cl 0.5000 0.5000 0.5000  6 Na 2.94

Output
excess energy over the best structure of this formula in the dataset = 0.012 eV/atom
N(E_F) = 3.09 states/eV/f.u.

***

no.,calculated total energy (eV/cell)
1,-26.32
2,-7.82
3,-13.97
4,-25.88
5,-13.91
6,-25.65
7,-13.12
8,-12.54
9,-18.12
10,-8.47
11,-40.53
12,-8.08